Entry from Alexandria via LeMat-Bulk: a geometry-optimized Tb2PrY6 structure (PBE).

The space group is P4_2/mnm (No. 136) and the conventional cell measures 10.752, 10.752 and 5.074 Å, with angles of 90.00, 90.00 and 90.00 degrees. The inequivalent atoms are Tb at (0.167, 0.167, 0.000), Pr at (0.000, 0.000, 0.500), Y at (0.000, 0.334, 0.500) and Y at (0.167, 0.833, 0.000).

The value obtained for the formation energy is 0.2 eV per formula unit.


Entry from Alexandria via LeMat-Bulk: a geometry-optimized LaCuNi2 structure (PBE).

The space group is F-43m (No. 216) and the conventional cell measures 6.480, 6.480 and 6.480 Å, with angles of 90.00, 90.00 and 90.00 degrees. The inequivalent atoms are La at (0.000, 0.000, 0.000), Cu at (0.250, 0.250, 0.750), Ni at (0.000, 0.000, 0.500) and Ni at (0.250, 0.250, 0.250).

The value obtained for the formation energy is 0.4 eV per formula unit.


What did the second record say?
Entry from Alexandria via LeMat-Bulk: a geometry-optimized LaCuNi2 structure (PBE).

The space group is F-43m (No. 216) and the conventional cell measures 6.480, 6.480 and 6.480 Å, with angles of 90.00, 90.00 and 90.00 degrees. The inequivalent atoms are La at (0.000, 0.000, 0.000), Cu at (0.250, 0.250, 0.750), Ni at (0.000, 0.000, 0.500) and Ni at (0.250, 0.250, 0.250).

The value obtained for the formation energy is 0.4 eV per formula unit.